The following is a GGA-PBE calculation of an optimized crystal structure of Cs2Li2H5, from the Alexandria database. Values from VASP.

Properties
space-group type	C2/m (12)
calculated total energy	-2.537	eV/atom
Fermi-level density of states	1.99	states/eV per cell

Geometry as Quantum ESPRESSO input:
```
&SYSTEM
  ibrav = 0, nat = 9, ntyp = 3
/
ATOMIC_SPECIES
Cs 132.91 Cs.upf
Li 6.94 Li.upf
H 1.01 H.upf
CELL_PARAMETERS angstrom
3.694 0.000 0.000
-1.847 5.685 -0.014
0.000 -0.799 7.451
ATOMIC_POSITIONS crystal
Cs 0.394 0.789 0.682
Cs 0.606 0.211 0.318
Li 0.138 0.276 0.893
Li 0.862 0.724 0.107
H 0.276 0.552 0.044
H 0.724 0.448 0.956
H 0.119 0.238 0.651
H 0.881 0.762 0.349
H 0.000 0.000 0.000
```